Tc2AgW after structural relaxation, computed with PBE.

```
Tc2AgW
1.0
4.823 -0.003 0.003
3.991 2.709 0.003
0.921 0.283 4.801
W Tc Ag
1 2 1
Direct
0.750 0.750 0.750
0.009 0.009 0.986
0.491 0.491 0.514
0.250 0.250 0.250
```

Its space group is C2/m, No. 12. The value obtained for the formation energy is 456 meV/atom. For the density of states at the Fermi level, the calculation gives 4.4 states/eV/f.u. The value obtained for the energy above the lowest structure with this stoichiometry is 162 meV per atom.

***

AcSmGa2 after structural relaxation, computed with PBE.

```
AcSmGa2
1.0
4.258 0.000 -1.552
0.000 4.259 0.000
-0.113 0.000 6.308
Ac Ga Sm
1 2 1
Direct
0.729 0.000 0.997
0.008 0.000 0.556
0.143 0.500 0.825
0.451 0.500 0.440
```

Its space group is Amm2, No. 38. The value obtained for the formation energy is -538 meV/atom. For the density of states at the Fermi level, the calculation gives 3.5 states/eV/f.u.

***

EuHgGeBi after structural relaxation, computed with PBE.

```
EuHgGeBi
1.0
5.364 0.000 0.000
2.682 4.645 0.000
2.682 1.548 4.380
Hg Ge Eu Bi
1 1 1 1
Direct
0.750 0.750 0.750
0.250 0.250 0.250
0.000 0.000 0.000
0.500 0.500 0.500
```

Its space group is F-43m, No. 216. The value obtained for the formation energy is -288 meV/atom. For the density of states at the Fermi level, the calculation gives 2.4 states/eV/f.u.

***

ZrHgH3 after structural relaxation, computed with PBE.

```
ZrHgH3
1.0
3.802 0.000 0.000
0.000 3.802 0.000
0.000 0.000 3.802
H Hg Zr
3 1 1
Direct
0.500 0.000 0.000
0.000 0.500 0.000
0.000 0.000 0.500
0.000 0.000 0.000
0.500 0.500 0.500
```

Its space group is Pm-3m, No. 221. For the density of states at the Fermi level, the calculation gives 2.7 states/eV/f.u. The value obtained for the energy above the lowest structure with this stoichiometry is 588 meV per atom.

***

Na3As2Pd5 after structural relaxation, computed with PBE.

```
Na3As2Pd5
1.0
-4.610 -1.612 3.403
2.430 -6.374 5.479
0.155 4.457 7.527
As Na Pd
4 6 10
Direct
0.164 0.698 0.973
0.836 0.302 0.027
0.664 0.973 0.698
0.336 0.027 0.302
0.887 0.849 0.377
0.613 0.623 0.151
0.113 0.151 0.623
0.750 0.000 0.000
0.250 0.000 0.000
0.387 0.377 0.849
0.121 0.539 0.219
0.009 0.741 0.741
0.509 0.741 0.741
0.250 0.500 0.500
0.991 0.259 0.259
0.750 0.500 0.500
0.379 0.781 0.461
0.879 0.461 0.781
0.491 0.259 0.259
0.621 0.219 0.539
```

Its space group is Ibam, No. 72. The value obtained for the formation energy is -207 meV/atom. For the density of states at the Fermi level, the calculation gives 5.6 states/eV/f.u.

***

As2WAu after structural relaxation, computed with PBE.

```
As2WAu
1.0
5.397 0.003 0.000
2.638 4.708 0.000
-4.018 -2.356 2.727
W As Au
1 2 1
Direct
0.750 0.250 0.500
0.250 0.750 0.500
0.000 0.000 0.000
0.500 0.500 0.000
```

Its space group is I-4m2, No. 119. The value obtained for the formation energy is 583 meV/atom. For the density of states at the Fermi level, the calculation gives 3.1 states/eV/f.u. The value obtained for the energy above the lowest structure with this stoichiometry is 404 meV per atom.

***

PmTm3H after structural relaxation, computed with PBE.

```
PmTm3H
1.0
4.955 0.000 0.000
0.000 4.955 0.000
0.000 0.000 4.955
Tm Pm H
3 1 1
Direct
0.500 0.000 0.000
0.000 0.000 0.500
0.000 0.500 0.000
0.500 0.500 0.500
0.000 0.000 0.000
```

Its space group is Pm-3m, No. 221. Its total energy is -22.30 eV per formula unit. For the density of states at the Fermi level, the calculation gives 4.7 states/eV/f.u.

***

ScNiSbTe2 after structural relaxation, computed with PBE.

```
ScNiSbTe2
1.0
5.208 0.000 0.000
0.000 5.208 0.000
0.000 0.000 4.776
Sc Ni Te Sb
1 1 2 1
Direct
0.500 0.500 0.500
0.000 0.000 0.000
0.000 0.500 0.000
0.500 0.000 0.000
0.000 0.000 0.500
```

Its space group is P4/mmm, No. 123. For the density of states at the Fermi level, the calculation gives 3.2 states/eV/f.u. The value obtained for the energy above the lowest structure with this stoichiometry is 0 meV per atom.